# 1
Computed, not measured: crystalline UAsS at its relaxed geometry at the PBE-GGA level of DFT.

Cell lengths 4.267, 4.267, 10.057 Å; angles 90.00, 90.00, 120.00 degrees
Site moments in Bohr magnetons follow the coordinates.
Fractional coordinates of all 6 atoms:
As1 0.333 0.667 0.981  -0.04
As2 0.667 0.333 0.019  -0.04
S1 0.667 0.333 0.683  -0.07
S2 0.333 0.667 0.317  -0.07
U1 0.000 0.000 0.810  2.17
U2 0.000 0.000 0.190  2.17

uncorrected formation energy = -688.4 meV per atom
space-group type = P-3m1


# 2
Computed, not measured: crystalline SiSb2Au at its relaxed geometry at the PBE-GGA level of DFT.

Cell lengths 3.353, 3.353, 7.850 Å; angles 90.00, 90.00, 90.00 degrees
Fractional coordinates of all 4 atoms:
Au1 0.500 0.500 0.750
Sb1 0.000 0.000 0.009
Sb2 0.000 0.000 0.491
Si1 0.500 0.500 0.250

uncorrected formation energy = 351.5 meV per atom
space-group type = P4/mmm


# 3
Computed, not measured: crystalline Pm4AlCd2In at its relaxed geometry at the PBE-GGA level of DFT.

Cell lengths 5.387, 5.387, 9.333 Å; angles 73.23, 73.23, 60.00 degrees
Fractional coordinates of all 8 atoms:
Cd1 0.251 0.251 0.247
Cd2 0.749 0.749 0.753
Pm1 0.872 0.872 0.383
Pm2 0.128 0.128 0.617
Pm3 0.378 0.378 0.867
Pm4 0.622 0.622 0.133
Al1 0.500 0.500 0.500
In1 0.000 0.000 0.000

space-group type = R-3m
energy relative to the elements = -0.381 eV/atom


# 4
Computed, not measured: crystalline La2TlMo at its relaxed geometry at the PBE-GGA level of DFT.

Cell lengths 10.065, 10.065, 10.065 Å; angles 20.52, 20.52, 20.52 degrees
Fractional coordinates of all 4 atoms:
La1 0.233 0.233 0.233
La2 0.005 0.005 0.005
Mo1 0.499 0.499 0.499
Tl1 0.763 0.763 0.763

space-group type = R3m
energy above the most stable polymorph in this dataset = 27.0 kJ/mol of atoms
energy relative to the elements = 0.440 eV/atom


# 5
Computed, not measured: crystalline Hf2Cd2P at its relaxed geometry at the PBE-GGA level of DFT.

Cell lengths 6.707, 6.707, 4.876 Å; angles 90.00, 90.00, 90.00 degrees
Fractional coordinates of all 10 atoms:
Hf1 0.337 0.837 0.000
Hf2 0.163 0.337 0.000
Hf3 0.663 0.163 0.000
Hf4 0.837 0.663 0.000
Cd1 0.850 0.350 0.500
Cd2 0.150 0.650 0.500
Cd3 0.350 0.150 0.500
Cd4 0.650 0.850 0.500
P1 0.500 0.500 0.000
P2 0.000 0.000 0.000

space-group type = P4/mbm
energy relative to the elements = -0.320 eV/atom


# 6
Computed, not measured: crystalline HgTe2PtI at its relaxed geometry at the PBE-GGA level of DFT.

Cell lengths 5.360, 5.360, 5.607 Å; angles 90.00, 90.00, 90.00 degrees
Fractional coordinates of all 5 atoms:
Hg1 0.500 0.500 0.500
I1 0.000 0.000 0.500
Te1 0.500 0.000 0.000
Te2 0.000 0.500 0.000
Pt1 0.000 0.000 0.000

uncorrected formation energy = 277.4 meV per atom
space-group type = P4/mmm
energy above the most stable polymorph in this dataset = 0.0 kJ/mol of atoms


# 7
Computed, not measured: crystalline Tb2SmHo8 at its relaxed geometry at the PBE-GGA level of DFT.

Cell lengths 5.424, 8.337, 9.059 Å; angles 115.14, 107.42, 90.00 degrees
Fractional coordinates of all 11 atoms:
Ho1 0.841 0.804 0.683
Ho2 0.383 0.557 0.766
Ho3 0.159 0.196 0.317
Ho4 0.666 0.894 0.333
Ho5 0.019 0.723 0.037
Ho6 0.617 0.443 0.234
Ho7 0.981 0.277 0.963
Ho8 0.334 0.106 0.667
Tb1 0.798 0.341 0.596
Tb2 0.202 0.659 0.404
Sm1 0.500 0.000 0.000

space-group type = C2/m
energy relative to the elements = 0.101 eV/atom


# 8
Computed, not measured: crystalline K2CaAl at its relaxed geometry at the PBE-GGA level of DFT.

Cell lengths 7.746, 7.746, 7.746 Å; angles 149.44, 128.97, 60.66 degrees
Fractional coordinates of all 4 atoms:
Al1 0.517 0.517 0.000
K1 0.297 0.797 0.500
K2 0.996 0.996 0.000
Ca1 0.691 0.191 0.500

space-group type = Imm2
energy relative to the elements = 0.261 eV/atom


# 9
Computed, not measured: crystalline Pm3Sn3Rh at its relaxed geometry at the PBE-GGA level of DFT.

Cell lengths 6.872, 6.872, 8.288 Å; angles 94.89, 94.89, 101.89 degrees
Fractional coordinates of all 14 atoms:
Pm1 0.361 0.361 0.636
Pm2 0.749 0.251 0.000
Pm3 0.832 0.168 0.500
Pm4 0.639 0.639 0.364
Pm5 0.251 0.749 0.000
Pm6 0.168 0.832 0.500
Rh1 0.969 0.969 0.770
Rh2 0.031 0.031 0.230
Sn1 0.761 0.761 0.033
Sn2 0.562 0.872 0.720
Sn3 0.239 0.239 0.967
Sn4 0.872 0.562 0.720
Sn5 0.128 0.438 0.280
Sn6 0.438 0.128 0.280

space-group type = C2/m
energy above the most stable polymorph in this dataset = 14.4 kJ/mol of atoms
energy relative to the elements = -0.650 eV/atom


# 10
Computed, not measured: crystalline Pm12H5Pb3 at its relaxed geometry at the PBE-GGA level of DFT.

Cell lengths 13.980, 13.980, 13.980 Å; angles 109.47, 109.47, 109.47 degrees
Fractional coordinates of all 80 atoms:
H1 0.500 0.500 0.000
H2 0.625 0.750 0.875
H3 0.875 0.250 0.625
H4 0.000 0.500 0.500
H5 0.500 0.000 0.500
H6 0.000 0.000 0.500
H7 0.375 0.125 0.750
H8 0.875 0.625 0.750
H9 0.500 0.500 0.500
H10 0.375 0.250 0.125
H11 0.250 0.375 0.625
H12 0.125 0.750 0.375
H13 0.625 0.875 0.250
H14 0.000 0.000 0.000
H15 0.125 0.375 0.250
H16 0.250 0.875 0.125
H17 0.000 0.500 0.000
H18 0.500 0.000 0.000
H19 0.750 0.125 0.875
H20 0.750 0.625 0.375
Pm1 0.404 0.392 0.597
Pm2 0.892 0.597 0.904
Pm3 0.596 0.987 0.692
Pm4 0.692 0.487 0.596
Pm5 0.403 0.108 0.596
Pm6 0.608 0.596 0.903
Pm7 0.192 0.097 0.705
Pm8 0.795 0.308 0.903
Pm9 0.108 0.403 0.096
Pm10 0.403 0.295 0.308
Pm11 0.013 0.404 0.808
Pm12 0.295 0.892 0.987
Pm13 0.705 0.597 0.192
Pm14 0.392 0.987 0.795
Pm15 0.108 0.705 0.513
Pm16 0.903 0.096 0.608
Pm17 0.205 0.513 0.608
Pm18 0.987 0.596 0.192
Pm19 0.808 0.903 0.295
Pm20 0.205 0.692 0.097
Pm21 0.013 0.608 0.705
Pm22 0.597 0.705 0.692
Pm23 0.705 0.108 0.013
Pm24 0.904 0.097 0.892
Pm25 0.513 0.205 0.108
Pm26 0.608 0.013 0.205
Pm27 0.795 0.487 0.392
Pm28 0.987 0.392 0.295
Pm29 0.392 0.404 0.097
Pm30 0.596 0.608 0.403
Pm31 0.597 0.892 0.404
Pm32 0.404 0.013 0.308
Pm33 0.692 0.205 0.597
Pm34 0.903 0.808 0.795
Pm35 0.487 0.795 0.892
Pm36 0.097 0.904 0.392
Pm37 0.096 0.903 0.108
Pm38 0.513 0.308 0.904
Pm39 0.892 0.295 0.487
Pm40 0.295 0.403 0.808
Pm41 0.308 0.795 0.403
Pm42 0.487 0.692 0.096
Pm43 0.308 0.513 0.404
Pm44 0.096 0.192 0.487
Pm45 0.904 0.808 0.513
Pm46 0.192 0.096 0.987
Pm47 0.097 0.192 0.205
Pm48 0.808 0.904 0.013
Pb1 0.875 0.125 0.250
Pb2 0.250 0.125 0.375
Pb3 0.625 0.250 0.375
Pb4 0.375 0.750 0.625
Pb5 0.625 0.375 0.750
Pb6 0.875 0.750 0.125
Pb7 0.125 0.875 0.750
Pb8 0.750 0.375 0.125
Pb9 0.375 0.625 0.250
Pb10 0.250 0.625 0.875
Pb11 0.125 0.250 0.875
Pb12 0.750 0.875 0.625

space-group type = Ia-3d
final energy = -361.4 eV for the cell shown


Respective N(E_F) values: 2.15; 0.48; 1.12; 1.10; 0.69; 1.45; 1.68; 1.09; 0.64; 0.73 states/eV/atom.
Respective density values: 7.2; 8.8; 7.1; 8.8; 9.3; 8.0; 8.5; 1.3; 7.8; 7.5 g/cm3.